Compound: Li2TlHg
Source: the Alexandria database
Functional: PBE
Structure: optimized geometry

Computed properties:
The energy is -1.916 eV per atom. Its volume is 19.762 A^3/atom. The space group is No. 123.

Geometry as CIF:
```
data_Li2TlHg
_chemical_formula_sum 'Li2 Tl1 Hg1'
_cell_length_a 3.380
_cell_length_b 3.380
_cell_length_c 6.918
_cell_angle_alpha 90.00
_cell_angle_beta 90.00
_cell_angle_gamma 90.00
_space_group_name_H-M_alt 'P 1'
_space_group_IT_number 1
_space_group_name_Hall 'P 1'
loop_
_atom_site_label
_atom_site_type_symbol
_atom_site_fract_x
_atom_site_fract_y
_atom_site_fract_z
Hg1 Hg 0.500 0.500 0.000
Li1 Li 0.000 0.000 0.232
Li2 Li 0.000 0.000 0.768
Tl1 Tl 0.500 0.500 0.500
```